i:
La3Br2 | Alexandria via LeMat-Bulk | PBE | relaxed; mass density = 5.75 g/cm³; M_tot = 0.000 μB/atom; crystal system = trigonal
1.0
3.7408 2.1598 6.8682
-3.7408 2.1598 6.8682
0.0000 -4.3195 6.8682
La Br
6 4
direct
0.0903 0.7500 0.4097 La
0.2500 0.5903 0.9097 La
0.4097 0.0903 0.7500 La
0.5903 0.9097 0.2500 La
0.7500 0.4097 0.0903 La
0.9097 0.2500 0.5903 La
0.1660 0.1660 0.1660 Br
0.3340 0.3340 0.3340 Br
0.6660 0.6660 0.6660 Br
0.8340 0.8340 0.8340 Br


ii:
La3Br2 | Alexandria via LeMat-Bulk | PBE | relaxed; mass density = 6.31 g/cm³; M_tot = 0.000 μB/atom; crystal system = trigonal
1.0
5.2221 0.0000 0.0000
-2.6111 4.5225 0.0000
0.0000 0.0000 6.4232
La Br
3 2
direct
0.0000 0.0000 0.0000 La
0.3333 0.6667 0.3367 La
0.6667 0.3333 0.6633 La
0.3333 0.6667 0.8292 Br
0.6667 0.3333 0.1708 Br


Top of the stability list: i, leading by 0.204 eV/atom.


i:
Li3LaBr6 | Alexandria via LeMat-Bulk | PBE | relaxed; mass density = 3.59 g/cm³; M_tot = 0.000 μB/atom; crystal system = orthorhombic
1.0
4.5539 -6.9410 0.0000
4.5539 6.9410 0.0000
0.0000 0.0000 4.6744
Li La Br
3 1 6
direct
0.0000 0.0000 0.0000 Li
0.0000 0.5000 0.5000 Li
0.5000 0.0000 0.5000 Li
0.5000 0.5000 0.0000 La
0.0824 0.3332 0.0000 Br
0.3332 0.0824 0.0000 Br
0.3575 0.6425 0.5000 Br
0.6425 0.3575 0.5000 Br
0.6668 0.9176 0.0000 Br
0.9176 0.6668 0.0000 Br


ii:
Li3LaBr6 | Alexandria via LeMat-Bulk | PBE | relaxed; mass density = 2.87 g/cm³; M_tot = 0.000 μB/atom; crystal system = triclinic
1.0
7.9396 0.0000 0.0000
3.7507 7.0190 0.0000
3.7530 2.2655 6.6429
Li La Br
3 1 6
direct
0.0000 0.0000 0.0000 Li
0.0000 0.0000 0.5000 Li
0.0000 0.5000 0.0000 Li
0.5000 0.5000 0.5000 La
0.2185 0.7796 0.2700 Br
0.2217 0.2669 0.7830 Br
0.2262 0.7589 0.7587 Br
0.7738 0.2411 0.2413 Br
0.7783 0.7331 0.2170 Br
0.7815 0.2204 0.7300 Br


Top of the stability list: ii, leading by 0.033 eV/atom.


i:
LiLaBr4 | Alexandria via LeMat-Bulk | PBE | relaxed; mass density = 4.14 g/cm³; M_tot = 0.062 μB/atom; crystal system = cubic
1.0
0.0000 4.5372 4.5372
4.5372 0.0000 4.5372
4.5372 4.5372 0.0000
Li La Br
1 1 4
direct
0.0000 0.0000 0.0000 Li
0.2500 0.2500 0.2500 La
0.1241 0.6253 0.6253 Br
0.6253 0.1241 0.6253 Br
0.6253 0.6253 0.1241 Br
0.6253 0.6253 0.6253 Br


ii:
LiLaBr4 | Alexandria via LeMat-Bulk | PBE | relaxed; mass density = 3.67 g/cm³; M_tot = 0.000 μB/atom; crystal system = monoclinic
1.0
5.9905 0.0000 0.0000
0.0000 9.5043 0.0000
-2.9573 0.0000 7.4077
Li La Br
2 2 8
direct
0.1837 0.2500 0.4702 Li
0.8163 0.7500 0.5298 Li
0.0517 0.7500 0.1164 La
0.9483 0.2500 0.8836 La
0.1388 0.0638 0.2182 Br
0.1388 0.4362 0.2182 Br
0.2277 0.7500 0.5065 Br
0.4211 0.2500 0.8297 Br
0.5789 0.7500 0.1703 Br
0.7723 0.2500 0.4935 Br
0.8612 0.5638 0.7818 Br
0.8612 0.9362 0.7818 Br


Top of the stability list: ii, leading by 1.414 eV/atom.


i:
LiLaBr | Alexandria via LeMat-Bulk | PBE | relaxed; mass density = 4.82 g/cm³; M_tot = 0.002 μB/atom; crystal system = cubic
1.0
6.7778 0.0000 0.0000
0.0000 6.7778 0.0000
0.0000 0.0000 6.7778
Li La Br
4 4 4
direct
0.0000 0.0000 0.0000 Li
0.0000 0.5000 0.5000 Li
0.5000 0.0000 0.5000 Li
0.5000 0.5000 0.0000 Li
0.2500 0.2500 0.2500 La
0.2500 0.7500 0.7500 La
0.7500 0.2500 0.7500 La
0.7500 0.7500 0.2500 La
0.2500 0.2500 0.7500 Br
0.2500 0.7500 0.2500 Br
0.7500 0.2500 0.2500 Br
0.7500 0.7500 0.7500 Br


ii:
LiLaBr | Alexandria via LeMat-Bulk | PBE | relaxed; mass density = 4.49 g/cm³; M_tot = 0.001 μB/atom; crystal system = tetragonal
1.0
3.5396 0.0000 0.0000
0.0000 3.5396 0.0000
0.0000 0.0000 13.3365
Li La Br
2 2 2
direct
0.0000 0.0000 0.0000 Li
0.5000 0.5000 0.5000 Li
0.0000 0.0000 0.7095 La
0.5000 0.5000 0.2095 La
0.0000 0.0000 0.3676 Br
0.5000 0.5000 0.8676 Br


Top of the stability list: ii, leading by 0.541 eV/atom.


i:
LiLaBr | Alexandria via LeMat-Bulk | PBE | relaxed; mass density = 4.24 g/cm³; M_tot = 0.191 μB/atom; crystal system = orthorhombic
1.0
3.8134 0.0000 0.0000
0.0000 6.2864 0.0000
0.0000 0.0000 14.7389
Li La Br
4 4 4
direct
0.0000 0.0000 0.0000 Li
0.0000 0.5000 0.5000 Li
0.5000 0.0000 0.5000 Li
0.5000 0.5000 0.0000 Li
0.0000 0.0000 0.7105 La
0.0000 0.5000 0.2105 La
0.5000 0.0000 0.2105 La
0.5000 0.5000 0.7105 La
0.0000 0.0000 0.3818 Br
0.0000 0.5000 0.8818 Br
0.5000 0.0000 0.8818 Br
0.5000 0.5000 0.3818 Br


ii:
LiLaBr | Alexandria via LeMat-Bulk | PBE | relaxed; mass density = 5.00 g/cm³; M_tot = 0.187 μB/atom; crystal system = hexagonal
1.0
4.7263 0.0000 0.0000
-2.3631 4.0931 0.0000
0.0000 0.0000 3.8782
Li La Br
1 1 1
direct
0.0000 0.0000 0.0000 Li
0.3333 0.6667 0.5000 La
0.6667 0.3333 0.0000 Br


Top of the stability list: i, leading by 0.112 eV/atom.


i:
LiLaBr | Alexandria via LeMat-Bulk | PBE | relaxed; mass density = 3.80 g/cm³; M_tot = 0.181 μB/atom; crystal system = cubic
1.0
7.3354 0.0000 0.0000
0.0000 7.3354 0.0000
0.0000 0.0000 7.3354
Li La Br
4 4 4
direct
0.0000 0.0000 0.0000 Li
0.0000 0.5000 0.5000 Li
0.5000 0.0000 0.5000 Li
0.5000 0.5000 0.0000 Li
0.2500 0.2500 0.7500 La
0.2500 0.7500 0.2500 La
0.7500 0.2500 0.2500 La
0.7500 0.7500 0.7500 La
0.0000 0.0000 0.5000 Br
0.0000 0.5000 0.0000 Br
0.5000 0.0000 0.0000 Br
0.5000 0.5000 0.5000 Br


ii:
LiLaBr | Alexandria via LeMat-Bulk | PBE | relaxed; mass density = 4.24 g/cm³; M_tot = 0.313 μB/atom; crystal system = cubic
1.0
7.0743 0.0000 0.0000
0.0000 7.0743 0.0000
0.0000 0.0000 7.0743
Li La Br
4 4 4
direct
0.0000 0.0000 0.0000 Li
0.0000 0.5000 0.5000 Li
0.5000 0.0000 0.5000 Li
0.5000 0.5000 0.0000 Li
0.0000 0.0000 0.5000 La
0.0000 0.5000 0.0000 La
0.5000 0.0000 0.0000 La
0.5000 0.5000 0.5000 La
0.2500 0.2500 0.2500 Br
0.2500 0.7500 0.7500 Br
0.7500 0.2500 0.7500 Br
0.7500 0.7500 0.2500 Br


Top of the stability list: ii, leading by 0.215 eV/atom.


i:
Li2LaMnBr | Alexandria via LeMat-Bulk | PBE | relaxed; mass density = 2.79 g/cm³; M_tot = 0.166 μB/atom; crystal system = tetragonal
1.0
6.1448 0.0000 0.0000
0.0000 6.1448 0.0000
0.0000 0.0000 4.5316
Li La Mn Br
2 1 1 1
direct
0.0000 0.5000 0.0000 Li
0.5000 0.0000 0.0000 Li
0.0000 0.0000 0.0000 La
0.0000 0.0000 0.5000 Mn
0.5000 0.5000 0.5000 Br


ii:
Li2LaMnBr | Alexandria via LeMat-Bulk | PBE | relaxed; mass density = 3.60 g/cm³; M_tot = 0.786 μB/atom; crystal system = tetragonal
1.0
4.6978 0.0000 0.0000
0.0000 4.6978 0.0000
0.0000 0.0000 6.0063
Li La Mn Br
2 1 1 1
direct
0.0000 0.5000 0.0000 Li
0.5000 0.0000 0.0000 Li
0.0000 0.0000 0.5000 La
0.5000 0.5000 0.5000 Mn
0.0000 0.0000 0.0000 Br


Top of the stability list: ii, leading by 0.857 eV/atom.


i:
LaMgBr2 | Alexandria via LeMat-Bulk | PBE | relaxed; mass density = 4.23 g/cm³; M_tot = 0.020 μB/atom; crystal system = monoclinic
1.0
3.7907 0.0000 0.0000
0.0000 3.7945 0.0000
-0.0174 0.0000 8.8162
La Mg Br
1 1 2
direct
0.0000 0.0000 0.0000 La
0.5010 0.5000 0.2607 Mg
0.0024 0.0000 0.3942 Br
0.4993 0.5000 0.8071 Br


ii:
LaMgBr2 | Alexandria via LeMat-Bulk | PBE | relaxed; mass density = 4.54 g/cm³; M_tot = 0.133 μB/atom; crystal system = cubic
1.0
7.7904 0.0000 0.0000
0.0000 7.7904 0.0000
0.0000 0.0000 7.7904
La Mg Br
4 4 8
direct
0.0000 0.0000 0.0000 La
0.0000 0.5000 0.5000 La
0.5000 0.0000 0.5000 La
0.5000 0.5000 0.0000 La
0.2500 0.2500 0.2500 Mg
0.2500 0.7500 0.7500 Mg
0.7500 0.2500 0.7500 Mg
0.7500 0.7500 0.2500 Mg
0.0000 0.0000 0.5000 Br
0.0000 0.5000 0.0000 Br
0.2500 0.2500 0.7500 Br
0.2500 0.7500 0.2500 Br
0.5000 0.0000 0.0000 Br
0.5000 0.5000 0.5000 Br
0.7500 0.2500 0.2500 Br
0.7500 0.7500 0.7500 Br


Top of the stability list: i, leading by 0.507 eV/atom.


i:
LaMgBr2 | Alexandria via LeMat-Bulk | PBE | relaxed; mass density = 4.40 g/cm³; M_tot = 0.000 μB/atom; crystal system = monoclinic
1.0
3.7832 0.0000 0.0000
0.0000 4.9852 0.0000
-0.0804 0.0000 6.4690
La Mg Br
1 1 2
direct
0.0000 0.0000 0.0000 La
0.5000 0.0000 0.5000 Mg
0.2484 0.5000 0.2423 Br
0.7516 0.5000 0.7577 Br


ii:
LaMgBr2 | Alexandria via LeMat-Bulk | PBE | relaxed; mass density = 4.51 g/cm³; M_tot = 0.000 μB/atom; crystal system = monoclinic
1.0
7.2803 0.0000 0.0000
0.0000 9.8345 0.0000
-1.8035 0.0000 3.3186
La Mg Br
2 2 4
direct
0.0000 0.0000 0.0000 La
0.5000 0.5000 0.0000 La
0.0000 0.5000 0.0000 Mg
0.5000 0.0000 0.0000 Mg
0.2500 0.2500 0.0000 Br
0.2500 0.7500 0.0000 Br
0.7500 0.2500 0.0000 Br
0.7500 0.7500 0.0000 Br


Top of the stability list: ii, leading by 0.008 eV/atom.


i:
LaMgBr2 | Alexandria via LeMat-Bulk | PBE | relaxed; mass density = 4.70 g/cm³; M_tot = 0.000 μB/atom; crystal system = orthorhombic
1.0
3.9603 0.0000 0.0000
0.0000 4.7151 0.0000
0.0000 0.0000 6.1054
La Mg Br
1 1 2
direct
0.0000 0.0000 0.0000 La
0.5000 0.0000 0.5000 Mg
0.0000 0.5000 0.5000 Br
0.5000 0.5000 0.0000 Br


ii:
LaMgBr2 | Alexandria via LeMat-Bulk | PBE | relaxed; mass density = 4.06 g/cm³; M_tot = 0.000 μB/atom; crystal system = orthorhombic
1.0
3.8956 0.0000 0.0000
0.0000 6.3172 0.0000
0.0000 0.0000 10.7255
La Mg Br
2 2 4
direct
0.0000 0.0000 0.0000 La
0.5000 0.5000 0.5000 La
0.0000 0.0000 0.5000 Mg
0.5000 0.5000 0.0000 Mg
0.0000 0.5000 0.2878 Br
0.0000 0.5000 0.7122 Br
0.5000 0.0000 0.2122 Br
0.5000 0.0000 0.7878 Br


iii:
LaMgBr2 | Alexandria via LeMat-Bulk | PBE | relaxed; mass density = 4.86 g/cm³; M_tot = 0.154 μB/atom; crystal system = tetragonal
1.0
4.9569 0.0000 0.0000
0.0000 4.9569 0.0000
0.0000 0.0000 8.9862
La Mg Br
2 2 4
direct
0.0000 0.0000 0.0000 La
0.5000 0.5000 0.5000 La
0.0000 0.0000 0.5000 Mg
0.5000 0.5000 0.0000 Mg
0.0000 0.5000 0.2500 Br
0.0000 0.5000 0.7500 Br
0.5000 0.0000 0.2500 Br
0.5000 0.0000 0.7500 Br


iv:
LaMgBr2 | Alexandria via LeMat-Bulk | PBE | relaxed; mass density = 3.85 g/cm³; M_tot = 0.149 μB/atom; crystal system = trigonal
1.0
3.8582 0.0000 0.0000
-1.9291 3.3413 0.0000
0.0000 0.0000 32.4625
La Mg Br
3 3 6
direct
0.0000 0.0000 0.0000 La
0.3333 0.6667 0.6667 La
0.6667 0.3333 0.3333 La
0.0000 0.0000 0.5000 Mg
0.3333 0.6667 0.1667 Mg
0.6667 0.3333 0.8333 Mg
0.0000 0.0000 0.2690 Br
0.0000 0.0000 0.7310 Br
0.3333 0.6667 0.3977 Br
0.3333 0.6667 0.9357 Br
0.6667 0.3333 0.0643 Br
0.6667 0.3333 0.6023 Br


Top of the stability list: iv, leading by 0.068 eV/atom.


i:
LaMgBr2 | Alexandria via LeMat-Bulk | PBE | relaxed; mass density = 4.83 g/cm³; M_tot = 0.247 μB/atom; crystal system = cubic
1.0
7.6304 0.0000 0.0000
0.0000 7.6304 0.0000
0.0000 0.0000 7.6304
La Mg Br
4 4 8
direct
0.0000 0.0000 0.0000 La
0.0000 0.5000 0.5000 La
0.5000 0.0000 0.5000 La
0.5000 0.5000 0.0000 La
0.0000 0.0000 0.5000 Mg
0.0000 0.5000 0.0000 Mg
0.5000 0.0000 0.0000 Mg
0.5000 0.5000 0.5000 Mg
0.2500 0.2500 0.2500 Br
0.2500 0.2500 0.7500 Br
0.2500 0.7500 0.2500 Br
0.2500 0.7500 0.7500 Br
0.7500 0.2500 0.2500 Br
0.7500 0.2500 0.7500 Br
0.7500 0.7500 0.2500 Br
0.7500 0.7500 0.7500 Br


ii:
LaMgBr2 | Alexandria via LeMat-Bulk | PBE | relaxed; mass density = 4.53 g/cm³; M_tot = 0.000 μB/atom; crystal system = trigonal
1.0
3.7687 0.0000 0.0000
-1.8843 3.2637 0.0000
0.0000 0.0000 28.8851
La Mg Br
3 3 6
direct
0.0000 0.0000 0.0000 La
0.3333 0.6667 0.6667 La
0.6667 0.3333 0.3333 La
0.0000 0.0000 0.5000 Mg
0.3333 0.6667 0.1667 Mg
0.6667 0.3333 0.8333 Mg
0.0000 0.0000 0.1119 Br
0.0000 0.0000 0.8881 Br
0.3333 0.6667 0.5547 Br
0.3333 0.6667 0.7786 Br
0.6667 0.3333 0.2214 Br
0.6667 0.3333 0.4453 Br


iii:
LaMgBr2 | Alexandria via LeMat-Bulk | PBE | relaxed; mass density = 3.33 g/cm³; M_tot = 0.000 μB/atom; crystal system = tetragonal
1.0
9.5519 0.0000 0.0000
0.0000 9.5519 0.0000
0.0000 0.0000 7.0545
La Mg Br
4 4 8
direct
0.0000 0.0000 0.0000 La
0.0000 0.5000 0.2500 La
0.5000 0.0000 0.7500 La
0.5000 0.5000 0.5000 La
0.0000 0.0000 0.5000 Mg
0.0000 0.5000 0.7500 Mg
0.5000 0.0000 0.2500 Mg
0.5000 0.5000 0.0000 Mg
0.1587 0.2500 0.1250 Br
0.2500 0.6587 0.3750 Br
0.2500 0.8413 0.8750 Br
0.3413 0.2500 0.6250 Br
0.6587 0.7500 0.6250 Br
0.7500 0.1587 0.8750 Br
0.7500 0.3413 0.3750 Br
0.8413 0.7500 0.1250 Br


iv:
LaMgBr2 | Alexandria via LeMat-Bulk | PBE | relaxed; mass density = 4.22 g/cm³; M_tot = 0.000 μB/atom; crystal system = trigonal
1.0
3.7816 0.0000 0.0000
-1.8908 3.2750 0.0000
0.0000 0.0000 30.8112
La Mg Br
3 3 6
direct
0.0000 0.0000 0.0000 La
0.3333 0.6667 0.6667 La
0.6667 0.3333 0.3333 La
0.0000 0.0000 0.5000 Mg
0.3333 0.6667 0.1667 Mg
0.6667 0.3333 0.8333 Mg
0.0000 0.0000 0.4033 Br
0.0000 0.0000 0.5967 Br
0.3333 0.6667 0.0700 Br
0.3333 0.6667 0.2633 Br
0.6667 0.3333 0.7367 Br
0.6667 0.3333 0.9300 Br


Top of the stability list: iv, leading by 0.185 eV/atom.


i:
LaMgBr | Alexandria via LeMat-Bulk | PBE | relaxed; mass density = 4.51 g/cm³; M_tot = 0.000 μB/atom; crystal system = orthorhombic
1.0
3.9443 0.0000 0.0000
0.0000 6.0948 0.0000
0.0000 0.0000 14.9023
La Mg Br
4 4 4
direct
0.0000 0.0000 0.0000 La
0.0000 0.5000 0.5000 La
0.5000 0.0000 0.5000 La
0.5000 0.5000 0.0000 La
0.0000 0.0000 0.6813 Mg
0.0000 0.5000 0.1813 Mg
0.5000 0.0000 0.1813 Mg
0.5000 0.5000 0.6813 Mg
0.0000 0.0000 0.3342 Br
0.0000 0.5000 0.8342 Br
0.5000 0.0000 0.8342 Br
0.5000 0.5000 0.3342 Br


ii:
LaMgBr | Alexandria via LeMat-Bulk | PBE | relaxed; mass density = 4.05 g/cm³; M_tot = 0.152 μB/atom; crystal system = tetragonal
1.0
3.6414 0.0000 0.0000
0.0000 3.6414 0.0000
0.0000 0.0000 15.0392
La Mg Br
2 2 2
direct
0.0000 0.0000 0.0000 La
0.5000 0.5000 0.5000 La
0.0000 0.0000 0.3389 Mg
0.5000 0.5000 0.8389 Mg
0.0000 0.0000 0.6223 Br
0.5000 0.5000 0.1223 Br


iii:
LaMgBr | Alexandria via LeMat-Bulk | PBE | relaxed; mass density = 3.88 g/cm³; M_tot = 0.004 μB/atom; crystal system = cubic
1.0
7.4662 0.0000 0.0000
0.0000 7.4662 0.0000
0.0000 0.0000 7.4662
La Mg Br
4 4 4
direct
0.0000 0.0000 0.0000 La
0.0000 0.5000 0.5000 La
0.5000 0.0000 0.5000 La
0.5000 0.5000 0.0000 La
0.2500 0.2500 0.2500 Mg
0.2500 0.7500 0.7500 Mg
0.7500 0.2500 0.7500 Mg
0.7500 0.7500 0.2500 Mg
0.2500 0.2500 0.7500 Br
0.2500 0.7500 0.2500 Br
0.7500 0.2500 0.2500 Br
0.7500 0.7500 0.7500 Br


Top of the stability list: ii, leading by 0.005 eV/atom.